# GaNi6Sn2

A relaxed GaNi6Sn2 crystal (PBE-GGA, Alexandria via LeMat-Bulk).

Energy of formation from the pure elements   -0.039 eV per atom
Magnetic moment   0.000 μB per formula unit
Crystal system   monoclinic
Calculated volume   14.53 Å³ per atom
SG   C2/m

Cell lengths 7.272, 7.272, 2.969 Å; angles 101.59, 101.59, 58.84 degrees
Atoms (fractional coordinates):
Ga1 0.000 0.000 0.000
Ni1 0.033 0.637 0.836
Ni2 0.265 0.735 0.500
Ni3 0.363 0.967 0.164
Ni4 0.637 0.033 0.836
Ni5 0.735 0.265 0.500
Ni6 0.967 0.363 0.164
Sn1 0.340 0.340 0.342
Sn2 0.660 0.660 0.658